1.
Density functional theory data (PBE) for a relaxed structure of LaHo3Er5.

abc: 10.013 10.013 11.138
angles: 111.92 111.92 34.87
Fractional coordinates of all 18 atoms:
La 0.142 0.858 0.750
La 0.858 0.142 0.250
Ho 0.000 0.000 0.000
Ho 0.000 0.000 0.500
Ho 0.052 0.593 0.637
Ho 0.407 0.948 0.863
Ho 0.593 0.052 0.137
Ho 0.948 0.407 0.363
Er 0.089 0.571 0.970
Er 0.093 0.579 0.305
Er 0.371 0.629 0.250
Er 0.421 0.907 0.195
Er 0.429 0.911 0.530
Er 0.571 0.089 0.470
Er 0.579 0.093 0.805
Er 0.629 0.371 0.750
Er 0.907 0.421 0.695
Er 0.911 0.429 0.030

- E_tot: -76.89 eV per cell
- Symmetry: C2/c (15)
- Theoretical density: 8.3 Mg/m³

=====

2.
Density functional theory data (PBE) for a relaxed structure of La8Ho6Er.

abc: 9.432 9.432 6.684
angles: 90.00 90.00 120.00
Fractional coordinates of all 15 atoms:
La 0.044 0.293 0.332
La 0.249 0.956 0.332
La 0.293 0.249 0.668
La 0.333 0.667 0.380
La 0.667 0.333 0.620
La 0.707 0.751 0.332
La 0.751 0.044 0.668
La 0.956 0.707 0.668
Ho 0.098 0.436 0.849
Ho 0.338 0.902 0.849
Ho 0.436 0.338 0.151
Ho 0.564 0.662 0.849
Ho 0.662 0.098 0.151
Ho 0.902 0.564 0.151
Er 0.000 0.000 0.000

- E_tot: -69.00 eV per cell
- Symmetry: P-3 (147)
- Theoretical density: 7.3 Mg/m³

=====

3.
Density functional theory data (PBE) for a relaxed structure of La12Ho7Er.

abc: 11.510 11.510 11.510
angles: 116.69 116.69 116.69
Fractional coordinates of all 20 atoms:
La 0.001 0.409 0.593
La 0.072 0.073 0.427
La 0.073 0.427 0.072
La 0.407 0.999 0.591
La 0.409 0.593 0.001
La 0.427 0.072 0.073
La 0.573 0.928 0.927
La 0.591 0.407 0.999
La 0.593 0.001 0.409
La 0.927 0.573 0.928
La 0.928 0.927 0.573
La 0.999 0.591 0.407
Ho 0.000 0.000 0.000
Ho 0.139 0.386 0.386
Ho 0.386 0.139 0.386
Ho 0.386 0.386 0.139
Ho 0.614 0.614 0.861
Ho 0.614 0.861 0.614
Ho 0.861 0.614 0.614
Er 0.500 0.500 0.500

- E_tot: -91.94 eV per cell
- Symmetry: R-3 (148)
- Theoretical density: 7.0 Mg/m³

=====

4.
Density functional theory data (PBE) for a relaxed structure of La7HoEr2.

abc: 9.340 9.340 5.800
angles: 90.00 90.00 122.92
Fractional coordinates of all 10 atoms:
La 0.000 0.000 0.000
La 0.205 0.432 0.000
La 0.269 0.731 0.500
La 0.432 0.205 0.000
La 0.568 0.795 0.000
La 0.731 0.269 0.500
La 0.795 0.568 0.000
Ho 0.500 0.500 0.500
Er 0.206 0.794 0.000
Er 0.794 0.206 0.000

- E_tot: -42.18 eV per cell
- Symmetry: Cmmm (65)
- Theoretical density: 5.8 Mg/m³

=====

5.
Density functional theory data (PBE) for a relaxed structure of LaHo3Er2.

abc: 9.444 9.444 11.550
angles: 90.00 90.00 158.16
Fractional coordinates of all 12 atoms:
La 0.221 0.779 0.750
La 0.779 0.221 0.250
Ho 0.108 0.892 0.250
Ho 0.335 0.665 0.504
Ho 0.335 0.665 0.996
Ho 0.665 0.335 0.004
Ho 0.665 0.335 0.496
Ho 0.892 0.108 0.750
Er 0.000 0.000 0.000
Er 0.000 0.000 0.500
Er 0.446 0.554 0.250
Er 0.554 0.446 0.750

- E_tot: -55.29 eV per cell
- Symmetry: Cmcm (63)
- Theoretical density: 8.4 Mg/m³

=====

6.
Density functional theory data (PBE) for a relaxed structure of LaHo2Er3.

abc: 11.089 11.089 11.317
angles: 120.49 120.49 18.86
Fractional coordinates of all 12 atoms:
La 0.111 0.111 0.485
La 0.889 0.889 0.515
Ho 0.224 0.224 0.851
Ho 0.442 0.442 0.310
Ho 0.558 0.558 0.690
Ho 0.776 0.776 0.149
Er 0.111 0.111 0.988
Er 0.221 0.221 0.344
Er 0.445 0.445 0.825
Er 0.555 0.555 0.175
Er 0.779 0.779 0.656
Er 0.889 0.889 0.012

- E_tot: -55.34 eV per cell
- Symmetry: C2/m (12)
- Theoretical density: 8.4 Mg/m³

=====

7.
Density functional theory data (PBE) for a relaxed structure of LaHo6Er2.

abc: 3.550 6.130 13.733
angles: 85.62 82.65 73.21
Fractional coordinates of all 9 atoms:
La 0.000 0.000 0.000
Ho 0.111 0.223 0.555
Ho 0.219 0.447 0.114
Ho 0.442 0.889 0.226
Ho 0.558 0.111 0.774
Ho 0.781 0.553 0.886
Ho 0.889 0.777 0.445
Er 0.335 0.666 0.664
Er 0.665 0.334 0.336

- E_tot: -41.29 eV per cell
- Symmetry: P-1 (2)
- Theoretical density: 8.6 Mg/m³

=====

8.
Density functional theory data (PBE) for a relaxed structure of LaHo2Er5.

abc: 7.071 7.071 7.071
angles: 119.90 119.90 90.17
Fractional coordinates of all 8 atoms:
La 0.000 0.000 0.000
Ho 0.000 0.500 0.500
Ho 0.500 0.000 0.500
Er 0.000 0.000 0.500
Er 0.000 0.500 0.000
Er 0.500 0.000 0.000
Er 0.500 0.500 0.000
Er 0.500 0.500 0.500

- E_tot: -36.70 eV per cell
- Symmetry: I4/mmm (139)
- Theoretical density: 8.7 Mg/m³

=====

9.
Density functional theory data (PBE) for a relaxed structure of La6HoEr8.

abc: 8.806 8.806 8.806
angles: 61.94 61.94 61.94
Fractional coordinates of all 15 atoms:
La 0.035 0.733 0.591
La 0.267 0.409 0.965
La 0.409 0.965 0.267
La 0.591 0.035 0.733
La 0.733 0.591 0.035
La 0.965 0.267 0.409
Ho 0.500 0.500 0.500
Er 0.077 0.077 0.077
Er 0.204 0.266 0.614
Er 0.266 0.614 0.204
Er 0.386 0.796 0.734
Er 0.614 0.204 0.266
Er 0.734 0.386 0.796
Er 0.796 0.734 0.386
Er 0.923 0.923 0.923

- E_tot: -68.91 eV per cell
- Symmetry: R-3 (148)
- Theoretical density: 7.7 Mg/m³

=====

10.
Density functional theory data (PBE) for a relaxed structure of LaHoEr3.

abc: 6.508 6.508 10.336
angles: 90.00 90.00 130.31
Fractional coordinates of all 10 atoms:
La 0.051 0.949 0.750
La 0.949 0.051 0.250
Ho 0.500 0.500 0.000
Ho 0.500 0.500 0.500
Er 0.192 0.808 0.063
Er 0.192 0.808 0.437
Er 0.328 0.672 0.750
Er 0.672 0.328 0.250
Er 0.808 0.192 0.563
Er 0.808 0.192 0.937

- E_tot: -44.56 eV per cell
- Symmetry: Cmcm (63)
- Theoretical density: 8.0 Mg/m³

=====

11.
Density functional theory data (PBE) for a relaxed structure of LaHo6Er8.

abc: 9.409 9.409 6.414
angles: 90.00 90.00 120.00
Fractional coordinates of all 15 atoms:
La 0.000 0.000 0.000
Ho 0.101 0.681 0.088
Ho 0.319 0.420 0.088
Ho 0.420 0.101 0.912
Ho 0.580 0.899 0.088
Ho 0.681 0.580 0.912
Ho 0.899 0.319 0.912
Er 0.025 0.340 0.410
Er 0.315 0.975 0.410
Er 0.333 0.667 0.662
Er 0.340 0.315 0.590
Er 0.660 0.685 0.410
Er 0.667 0.333 0.338
Er 0.685 0.025 0.590
Er 0.975 0.660 0.590

- E_tot: -65.54 eV per cell
- Symmetry: P-3 (147)
- Theoretical density: 8.3 Mg/m³

=====

12.
Density functional theory data (PBE) for a relaxed structure of LaHo7Er2.

abc: 9.097 9.097 5.644
angles: 90.00 90.00 122.68
Fractional coordinates of all 10 atoms:
La 0.000 0.000 0.000
Ho 0.060 0.294 0.500
Ho 0.221 0.779 0.000
Ho 0.294 0.060 0.500
Ho 0.500 0.500 0.500
Ho 0.706 0.940 0.500
Ho 0.779 0.221 0.000
Ho 0.940 0.706 0.500
Er 0.297 0.703 0.500
Er 0.703 0.297 0.500

- E_tot: -39.12 eV per cell
- Symmetry: Cmmm (65)
- Theoretical density: 6.9 Mg/m³

=====

13.
Density functional theory data (PBE) for a relaxed structure of La12Ho5Er2.

abc: 10.457 10.457 10.050
angles: 115.74 115.74 42.79
Fractional coordinates of all 19 atoms:
La 0.001 0.001 0.296
La 0.067 0.605 0.008
La 0.089 0.590 0.655
La 0.395 0.933 0.992
La 0.410 0.911 0.345
La 0.484 0.484 0.148
La 0.516 0.516 0.852
La 0.590 0.089 0.655
La 0.605 0.067 0.008
La 0.911 0.410 0.345
La 0.933 0.395 0.992
La 0.999 0.999 0.704
Ho 0.000 0.000 0.000
Ho 0.174 0.174 0.668
Ho 0.322 0.322 0.310
Ho 0.678 0.678 0.690
Ho 0.826 0.826 0.332
Er 0.302 0.698 0.500
Er 0.698 0.302 0.500

- E_tot: -88.19 eV per cell
- Symmetry: C2/m (12)
- Theoretical density: 7.1 Mg/m³

=====

14.
Density functional theory data (PBE) for a relaxed structure of LaHoEr.

abc: 10.357 10.357 5.454
angles: 90.00 90.00 160.25
Fractional coordinates of all 6 atoms:
La 0.206 0.794 0.750
La 0.794 0.206 0.250
Ho 0.389 0.611 0.750
Ho 0.611 0.389 0.250
Er 0.040 0.960 0.750
Er 0.960 0.040 0.250

- E_tot: -27.93 eV per cell
- Symmetry: Cmcm (63)
- Theoretical density: 7.9 Mg/m³

=====

15.
Density functional theory data (PBE) for a relaxed structure of La2Ho7Er2.

abc: 8.055 8.055 6.106
angles: 106.46 106.46 91.51
Fractional coordinates of all 11 atoms:
La 0.094 0.094 0.309
La 0.906 0.906 0.691
Ho 0.087 0.564 0.319
Ho 0.273 0.273 0.925
Ho 0.436 0.913 0.681
Ho 0.500 0.500 0.500
Ho 0.564 0.087 0.319
Ho 0.727 0.727 0.075
Ho 0.913 0.436 0.681
Er 0.289 0.711 0.000
Er 0.711 0.289 0.000

- E_tot: -49.33 eV per cell
- Symmetry: C2/m (12)
- Theoretical density: 8.1 Mg/m³

=====

16.
Density functional theory data (PBE) for a relaxed structure of La4HoEr4.

abc: 8.074 8.074 8.074
angles: 95.78 95.78 143.00
Fractional coordinates of all 9 atoms:
La 0.167 0.167 0.334
La 0.167 0.833 0.000
La 0.833 0.167 0.000
La 0.833 0.833 0.666
Ho 0.500 0.500 0.000
Er 0.163 0.500 0.663
Er 0.500 0.163 0.663
Er 0.500 0.837 0.337
Er 0.837 0.500 0.337

- E_tot: -42.25 eV per cell
- Symmetry: I4/mmm (139)
- Theoretical density: 7.7 Mg/m³

=====

17.
Density functional theory data (PBE) for a relaxed structure of La4Ho2Er.

abc: 9.083 9.083 9.083
angles: 135.00 100.83 96.02
Fractional coordinates of all 14 atoms:
La 0.155 0.153 0.002
La 0.242 0.210 0.468
La 0.242 0.774 0.032
La 0.349 0.847 0.502
La 0.651 0.153 0.498
La 0.758 0.226 0.968
La 0.758 0.790 0.532
La 0.845 0.847 0.998
Ho 0.000 0.500 0.500
Ho 0.036 0.286 0.750
Ho 0.500 0.500 0.000
Ho 0.964 0.714 0.250
Er 0.500 0.000 0.000
Er 0.500 0.500 0.500

- E_tot: -63.69 eV per cell
- Symmetry: Imma (74)
- Theoretical density: 7.1 Mg/m³

=====

18.
Density functional theory data (PBE) for a relaxed structure of LaHoEr4.

abc: 3.402 9.956 5.801
angles: 90.00 90.17 90.00
Fractional coordinates of all 6 atoms:
La 0.000 0.000 0.000
Ho 0.500 0.500 0.500
Er 0.000 0.195 0.500
Er 0.000 0.805 0.500
Er 0.500 0.318 0.000
Er 0.500 0.682 0.000

- E_tot: -26.53 eV per cell
- Symmetry: P2/m (10)
- Theoretical density: 8.2 Mg/m³

=====

19.
Density functional theory data (PBE) for a relaxed structure of LaHo15Er4.

abc: 4.995 4.995 25.000
angles: 90.00 90.00 90.00
Fractional coordinates of all 20 atoms:
La 0.000 0.000 0.000
Ho 0.000 0.500 0.103
Ho 0.000 0.500 0.301
Ho 0.000 0.500 0.500
Ho 0.000 0.500 0.699
Ho 0.000 0.500 0.897
Ho 0.500 0.000 0.103
Ho 0.500 0.000 0.301
Ho 0.500 0.000 0.500
Ho 0.500 0.000 0.699
Ho 0.500 0.000 0.897
Ho 0.500 0.500 0.000
Ho 0.500 0.500 0.203
Ho 0.500 0.500 0.401
Ho 0.500 0.500 0.599
Ho 0.500 0.500 0.797
Er 0.000 0.000 0.202
Er 0.000 0.000 0.401
Er 0.000 0.000 0.599
Er 0.000 0.000 0.798

- E_tot: -91.36 eV per cell
- Symmetry: P4/mmm (123)
- Theoretical density: 8.7 Mg/m³

=====

no.,magnetization (μB per atom),formation energy from the elements (eV/atom)
1,0.000,0.3364
2,0.000,0.1633
3,0.000,0.1897
4,0.000,0.6016
5,0.000,0.0233
6,0.000,0.0172
7,0.000,0.0253
8,0.000,0.0247
9,0.000,0.1156
10,0.000,0.1831
11,0.000,0.2236
12,0.000,0.6975
13,0.000,0.1552
14,0.000,0.0348
15,0.000,0.1538
16,0.000,0.0321
17,0.000,0.2262
18,0.000,0.2037
19,0.000,0.0242